Entry 1:
The following is a DFT calculation (PBE-GGA) of an optimized crystal structure of PrHf2Re.

a b c (Å): 3.3297 3.3297 8.3534
angles (deg): 90.00 90.00 90.00
Positions (direct):
Pr (0.5000, 0.5000, 0.5000)
Re (0.5000, 0.5000, 0.0000)
Hf (0.0000, 0.0000, 0.8160)
Hf (0.0000, 0.0000, 0.1840)

## Properties
volume: 23.15 Å³/atom
D(E_F): 0.983 states/eV/atom
crystal system: tetragonal
ΔH_f (0 K): -0.09 eV/atom
total magnetization: 0.00 μB/atom

=====

Entry 2:
The following is a DFT calculation (PBE-GGA) of an optimized crystal structure of PrHfRh4.

a b c (Å): 5.3196 5.3196 5.3196
angles (deg): 60.00 60.00 60.00
Positions (direct):
Rh (0.6244, 0.1267, 0.6244)
Rh (0.6244, 0.6244, 0.1267)
Rh (0.1267, 0.6244, 0.6244)
Rh (0.6244, 0.6244, 0.6244)
Pr (0.0000, 0.0000, 0.0000)
Hf (0.2500, 0.2500, 0.2500)

## Properties
volume: 17.74 Å³/atom
D(E_F): 0.490 states/eV/atom
crystal system: cubic
ΔH_f (0 K): -0.54 eV/atom
total magnetization: 0.00 μB/atom

=====

Entry 3:
The following is a DFT calculation (PBE-GGA) of an optimized crystal structure of PrHf2Rh3.

a b c (Å): 3.2865 3.2865 10.6643
angles (deg): 90.00 90.00 90.00
Positions (direct):
Rh (0.0000, 0.0000, 0.7101)
Rh (0.0000, 0.0000, 0.0000)
Rh (0.0000, 0.0000, 0.2899)
Hf (0.5000, 0.5000, 0.1575)
Hf (0.5000, 0.5000, 0.8425)
Pr (0.5000, 0.5000, 0.5000)

## Properties
volume: 19.20 Å³/atom
D(E_F): 0.850 states/eV/atom
crystal system: tetragonal
ΔH_f (0 K): -0.82 eV/atom
total magnetization: 0.00 μB/atom

=====

Entry 4:
The following is a DFT calculation (PBE-GGA) of an optimized crystal structure of PrHfRh2.

a b c (Å): 3.3858 4.8491 4.8491
angles (deg): 90.00 90.00 90.00
Positions (direct):
Rh (0.0000, 0.5000, 0.0000)
Rh (0.0000, 0.0000, 0.5000)
Pr (0.5000, 0.5000, 0.5000)
Hf (0.5000, 0.0000, 0.0000)

## Properties
volume: 19.90 Å³/atom
D(E_F): 0.717 states/eV/atom
crystal system: tetragonal
ΔH_f (0 K): -0.60 eV/atom
total magnetization: 0.00 μB/atom

=====

Entry 5:
The following is a DFT calculation (PBE-GGA) of an optimized crystal structure of PrHfRh2.

a b c (Å): 3.3386 3.3386 7.1473
angles (deg): 90.00 90.00 90.00
Positions (direct):
Hf (0.5000, 0.5000, 0.0000)
Pr (0.5000, 0.5000, 0.5000)
Rh (0.0000, 0.0000, 0.2088)
Rh (0.0000, 0.0000, 0.7912)

## Properties
volume: 19.92 Å³/atom
D(E_F): 0.710 states/eV/atom
crystal system: tetragonal
ΔH_f (0 K): -0.75 eV/atom
total magnetization: 0.00 μB/atom

=====

Entry 6:
The following is a DFT calculation (PBE-GGA) of an optimized crystal structure of PrHf4Ru5.

a b c (Å): 3.2733 3.2733 16.8129
angles (deg): 90.00 90.00 90.00
Positions (direct):
Pr (0.0000, 0.0000, 0.0000)
Ru (0.5000, 0.5000, 0.8774)
Ru (0.5000, 0.5000, 0.5000)
Ru (0.5000, 0.5000, 0.6899)
Ru (0.5000, 0.5000, 0.1226)
Ru (0.5000, 0.5000, 0.3101)
Hf (0.0000, 0.0000, 0.2094)
Hf (0.0000, 0.0000, 0.5967)
Hf (0.0000, 0.0000, 0.7906)
Hf (0.0000, 0.0000, 0.4033)

## Properties
volume: 18.01 Å³/atom
D(E_F): 0.364 states/eV/atom
crystal system: tetragonal
ΔH_f (0 K): -0.65 eV/atom
total magnetization: 0.00 μB/atom